No. 1
## SrZrP2Rh (PBE)

Data for a relaxed SrZrP2Rh crystal.

The space group is P4/mmm (No. 123) and the conventional cell measures 5.0780, 5.0780 and 4.8825 Å, with angles of 90.00, 90.00 and 90.00 degrees. The asymmetric unit holds Sr at (0.0000, 0.0000, 0.0000), Zr at (0.5000, 0.5000, 0.5000), P at (0.0000, 0.5000, 0.5000) and Rh at (0.5000, 0.5000, 0.0000).

Its calculated formation energy is -174 meV/atom.



No. 2
## TbSm2NpS4 (PBE)

Data for a relaxed TbSm2NpS4 crystal.

The space group is P2/m (No. 10) and the conventional cell measures 6.8636, 3.9570 and 6.8795 Å, with angles of 90.00, 109.33 and 90.00 degrees. The asymmetric unit holds Tb at (0.0000, 0.0000, 0.0000), Sm at (0.0000, 0.5000, 0.5000), Sm at (0.5000, 0.0000, 0.5000), Np at (0.5000, 0.5000, 0.0000), S at (0.2475, 0.5000, 0.2428) and S at (0.2535, 0.0000, 0.7582).

The calculation puts the energy relative to the elements, uncorrected at -1.8598 eV per atom.



No. 3
## AgHgRh2 (PBE)

Data for a relaxed AgHgRh2 crystal.

The space group is I4/mmm (No. 139) and the conventional cell measures 4.0754, 4.0754 and 8.0349 Å, with angles of 90.00, 90.00 and 90.00 degrees. The asymmetric unit holds Ag at (0.0000, 0.0000, 0.0000), Hg at (0.0000, 0.0000, 0.5000) and Rh at (0.0000, 0.5000, 0.2500).

Its calculated formation energy is 293 meV/atom.



No. 4
## Nd2Sm4Dy5 (PBE)

Data for a relaxed Nd2Sm4Dy5 crystal.

The space group is Immm (No. 71) and the conventional cell measures 3.5224, 9.1947 and 23.2304 Å, with angles of 90.00, 90.00 and 90.00 degrees. The asymmetric unit holds Nd at (0.0000, 0.0000, 0.2313), Sm at (0.0000, 0.0000, 0.0963), Sm at (0.0000, 0.3007, 0.5000), Dy at (0.0000, 0.1949, 0.3565) and Dy at (0.0000, 0.5000, 0.0000).

Its calculated formation energy is 232 meV/atom. Its energy above the most stable polymorph in this dataset is 0.087 eV per atom.



No. 5
## Rb4CoCl7 (PBE)

Data for a relaxed Rb4CoCl7 crystal.

The space group is C2/m (No. 12) and the conventional cell measures 16.8852, 5.2140 and 10.9440 Å, with angles of 90.00, 119.27 and 90.00 degrees. The asymmetric unit holds Rb at (0.0538, 0.0000, 0.2371), Rb at (0.2212, 0.0000, 0.8049), Co at (0.0000, 0.5000, 0.5000), Cl at (0.0000, 0.0000, 0.5000), Cl at (0.0632, 0.5000, 0.7299), Cl at (0.1488, 0.0000, 0.0452) and Cl at (0.2426, 0.5000, 0.4905).

The calculation puts the energy relative to the elements, uncorrected at -1.3463 eV per atom.



No. 6
## La2Dy2Ho15 (PBE)

Data for a relaxed La2Dy2Ho15 crystal.

The space group is R-3m (No. 166, hexagonal axes) and the conventional cell measures 11.1867, 11.1867 and 17.5097 Å, with angles of 90.00, 90.00 and 120.00 degrees. The asymmetric unit holds La at (0.0000, 0.0000, 0.1182), Dy at (0.0000, 0.0000, 0.3308), Ho at (0.0000, 0.3054, 0.0000), Ho at (0.0000, 0.5000, 0.5000) and Ho at (0.0159, 0.5080, 0.1387).

Its calculated formation energy is 288 meV/atom.



No. 7
## La2ThTl9 (PBE)

Data for a relaxed La2ThTl9 crystal.

The space group is P4/mmm (No. 123) and the conventional cell measures 4.8557, 4.8557 and 14.6031 Å, with angles of 90.00, 90.00 and 90.00 degrees. The asymmetric unit holds La at (0.0000, 0.0000, 0.1693), Th at (0.0000, 0.0000, 0.5000), Tl at (0.0000, 0.5000, 0.0000), Tl at (0.0000, 0.5000, 0.3346), Tl at (0.5000, 0.5000, 0.1660) and Tl at (0.5000, 0.5000, 0.5000).

Its calculated formation energy is -295 meV/atom.



No. 8
## Y2TeH4 (PBE)

Data for a relaxed Y2TeH4 crystal.

The space group is R-3m (No. 166, hexagonal axes) and the conventional cell measures 3.8371, 3.8371 and 22.6293 Å, with angles of 90.00, 90.00 and 120.00 degrees. The asymmetric unit holds Y at (0.0000, 0.0000, 0.2364), Te at (0.0000, 0.0000, 0.0000), H at (0.0000, 0.0000, 0.1378) and H at (0.0000, 0.0000, 0.4353).

The calculation puts the total energy at -35.33 eV per formula unit.



No. 9
## ErTh3Sc4 (PBE)

Data for a relaxed ErTh3Sc4 crystal.

The space group is Pmmn (No. 59, origin choice 2) and the conventional cell measures 4.8934, 9.8271 and 9.4234 Å, with angles of 90.00, 90.00 and 90.00 degrees. The asymmetric unit holds Er at (0.2500, 0.2500, 0.1350), Th at (0.2500, 0.0010, 0.8664), Th at (0.2500, 0.7500, 0.1339), Sc at (0.2500, 0.2500, 0.6160), Sc at (0.2500, 0.5010, 0.3850) and Sc at (0.2500, 0.7500, 0.6178).

Its calculated formation energy is 57 meV/atom. Its energy above the most stable polymorph in this dataset is 0.009 eV per atom.



No. 10
## SrLa2BeIr (PBE)

Data for a relaxed SrLa2BeIr crystal.

The space group is P4/mmm (No. 123) and the conventional cell measures 5.6602, 5.6602 and 4.7100 Å, with angles of 90.00, 90.00 and 90.00 degrees. The asymmetric unit holds Sr at (0.0000, 0.0000, 0.0000), La at (0.0000, 0.5000, 0.5000), Be at (0.5000, 0.5000, 0.0000) and Ir at (0.5000, 0.5000, 0.5000).

Its calculated formation energy is -109 meV/atom. Its energy above the most stable polymorph in this dataset is 0.000 eV per atom.



No. 11
## Ce4Pm3PrS8 (PBE)

Data for a relaxed Ce4Pm3PrS8 crystal.

The space group is R-3m (No. 166, hexagonal axes) and the conventional cell measures 8.0795, 8.0795 and 19.7881 Å, with angles of 90.00, 90.00 and 120.00 degrees. The asymmetric unit holds Ce at (0.0000, 0.0000, 0.0000), Ce at (0.0000, 0.5000, 0.0000), Pm at (0.0000, 0.5000, 0.5000), Pr at (0.0000, 0.0000, 0.5000), S at (0.0000, 0.0000, 0.2500) and S at (0.0029, 0.5014, 0.7493).

The calculation puts the energy relative to the elements, uncorrected at -2.0416 eV per atom.



No. 12
## NaAs2W2 (PBE)

Data for a relaxed NaAs2W2 crystal.

The space group is I4/mmm (No. 139) and the conventional cell measures 4.8348, 4.8348 and 8.6632 Å, with angles of 90.00, 90.00 and 90.00 degrees. The asymmetric unit holds Na at (0.0000, 0.0000, 0.0000), As at (0.0000, 0.5000, 0.2500) and W at (0.0000, 0.0000, 0.3661).

Its calculated formation energy is 291 meV/atom. Its energy above the most stable polymorph in this dataset is 0.356 eV per atom.



No. 13
## NbSbN2F (PBE)

Data for a relaxed NbSbN2F crystal.

The space group is P4/mmm (No. 123) and the conventional cell measures 4.1714, 4.1714 and 4.0800 Å, with angles of 90.00, 90.00 and 90.00 degrees. The asymmetric unit holds Nb at (0.0000, 0.0000, 0.0000), Sb at (0.5000, 0.5000, 0.5000), N at (0.0000, 0.5000, 0.0000) and F at (0.0000, 0.0000, 0.5000).

The calculation puts the energy relative to the elements, uncorrected at -0.3168 eV per atom. Its energy above the most stable polymorph in this dataset is 0.000 eV per atom.



No. 14
## ErPu5Sb6 (PBE)

Data for a relaxed ErPu5Sb6 crystal.

The space group is C2/m (No. 12) and the conventional cell measures 7.6430, 13.2455 and 7.6450 Å, with angles of 90.00, 109.48 and 90.00 degrees. The asymmetric unit holds Er at (0.0000, 0.0000, 0.0000), Pu at (0.0000, 0.1675, 0.5000), Pu at (0.0000, 0.3337, 0.0000), Pu at (0.0000, 0.5000, 0.5000), Sb at (0.2483, 0.0000, 0.7501) and Sb at (0.2485, 0.1659, 0.2481).

The calculation puts the energy relative to the elements, uncorrected at -0.6649 eV per atom.



No. 15
## Pr5InPb2 (PBE)

Data for a relaxed Pr5InPb2 crystal.

The space group is I4/mcm (No. 140) and the conventional cell measures 8.5730, 8.5730 and 14.3753 Å, with angles of 90.00, 90.00 and 90.00 degrees. The asymmetric unit holds Pr at (0.0000, 0.0000, 0.0000), Pr at (0.1644, 0.3356, 0.1518), In at (0.0000, 0.0000, 0.2500) and Pb at (0.1368, 0.3632, 0.5000).

Its calculated formation energy is -431 meV/atom.



No. 16
## Cs4K2Hg2O (PBE)

Data for a relaxed Cs4K2Hg2O crystal.

The space group is C2/m (No. 12) and the conventional cell measures 14.5514, 8.5795 and 7.4640 Å, with angles of 90.00, 98.27 and 90.00 degrees. The asymmetric unit holds Cs at (0.0873, 0.2407, 0.3079), K at (0.1461, 0.0000, 0.7628), Hg at (0.1665, 0.5000, 0.7857) and O at (0.0000, 0.0000, 0.5000).

The calculation puts the energy relative to the elements, uncorrected at -0.4153 eV per atom.



No. 17
## ZrCrSi2 (PBE)

Data for a relaxed ZrCrSi2 crystal.

The space group is R-3m (No. 166, hexagonal axes) and the conventional cell measures 2.9438, 2.9438 and 24.8243 Å, with angles of 90.00, 90.00 and 120.00 degrees. The asymmetric unit holds Zr at (0.0000, 0.0000, 0.0000), Cr at (0.0000, 0.0000, 0.5000) and Si at (0.0000, 0.0000, 0.2381).

The calculation puts the energy relative to the elements, uncorrected at -0.0473 eV per atom. Its energy above the most stable polymorph in this dataset is 0.580 eV per atom.



No. 18
## CrAsRu2 (PBE)

Data for a relaxed CrAsRu2 crystal.

The space group is Immm (No. 71) and the conventional cell measures 2.9377, 4.3581 and 8.6698 Å, with angles of 90.00, 90.00 and 90.00 degrees. The asymmetric unit holds Cr at (0.0000, 0.0000, 0.0000), As at (0.0000, 0.0000, 0.5000) and Ru at (0.0000, 0.5000, 0.2242).

Its calculated formation energy is 103 meV/atom.



No. 19
## InBiCl2 (PBE)

Data for a relaxed InBiCl2 crystal.

The space group is I-42d (No. 122) and the conventional cell measures 8.4256, 8.4256 and 6.7548 Å, with angles of 90.00, 90.00 and 90.00 degrees. The asymmetric unit holds In at (0.0000, 0.0000, 0.0000), Bi at (0.0000, 0.0000, 0.5000) and Cl at (0.2154, 0.2500, 0.6250).

The calculation puts the energy relative to the elements, uncorrected at -0.4081 eV per atom. Its energy above the most stable polymorph in this dataset is 0.176 eV per atom.



No. 20
## AcInTe2 (PBE)

Data for a relaxed AcInTe2 crystal.

The space group is R-3m (No. 166, hexagonal axes) and the conventional cell measures 4.7811, 4.7811 and 24.3471 Å, with angles of 90.00, 90.00 and 120.00 degrees. The asymmetric unit holds Ac at (0.0000, 0.0000, 0.0000), In at (0.0000, 0.0000, 0.5000) and Te at (0.0000, 0.0000, 0.2556).

The calculation puts the energy relative to the elements, uncorrected at -1.0520 eV per atom. Its energy above the most stable polymorph in this dataset is 0.000 eV per atom.



No. 21
## Rb2BaNaF (PBE)

Data for a relaxed Rb2BaNaF crystal.

The space group is P4/mmm (No. 123) and the conventional cell measures 7.0109, 7.0109 and 5.1749 Å, with angles of 90.00, 90.00 and 90.00 degrees. The asymmetric unit holds Rb at (0.0000, 0.5000, 0.0000), Ba at (0.0000, 0.0000, 0.5000), Na at (0.5000, 0.5000, 0.5000) and F at (0.0000, 0.0000, 0.0000).

The calculation puts the energy relative to the elements, uncorrected at -1.0004 eV per atom.



No. 22
## Eu4Cl6O (PBE)

Data for a relaxed Eu4Cl6O crystal.

The space group is P6_3mc (No. 186) and the conventional cell measures 9.4753, 9.4753 and 7.1995 Å, with angles of 90.00, 90.00 and 120.00 degrees. The asymmetric unit holds Eu at (0.1971, 0.3943, 0.0000), Eu at (0.3333, 0.6667, 0.4322), Cl at (0.0691, 0.5346, 0.7144), Cl at (0.1421, 0.2841, 0.3892) and O at (0.3333, 0.6667, 0.1059).

The calculation puts the energy relative to the elements, uncorrected at -2.4841 eV per atom.